Model 1:
Entry from Alexandria via LeMat-Bulk: crystalline LaTi2Pd at its relaxed geometry (PBE).

## Properties
theoretical density = 6.58 Mg/m³
SG = I-42d, No. 122
crystal system = tetragonal

abc: 11.087 11.087 11.087
angles: 159.18 159.18 29.61
Atoms (fractional coordinates):
La 0.000 0.000 0.000
La 0.750 0.250 0.500
Ti 0.142 0.625 0.017
Ti 0.375 0.392 0.517
Ti 0.608 0.125 0.983
Ti 0.875 0.858 0.483
Pd 0.250 0.750 0.500
Pd 0.500 0.500 0.000

---

Model 2:
Entry from Alexandria via LeMat-Bulk: crystalline LaTi2Pd at its relaxed geometry (PBE).

## Properties
theoretical density = 7.60 Mg/m³
SG = Fm-3m, No. 225
crystal system = cubic

abc: 4.723 4.723 4.723
angles: 60.00 60.00 60.00
Atoms (fractional coordinates):
La 0.000 0.000 0.000
Ti 0.250 0.250 0.250
Ti 0.750 0.750 0.750
Pd 0.500 0.500 0.500

---

So which one is most stable? That would be model 2, about 117 meV per atom below the next structure.

---

Model 1:
Entry from Alexandria via LeMat-Bulk: crystalline LaTi3Pd at its relaxed geometry (PBE).

## Properties
theoretical density = 6.09 Mg/m³
SG = Pm-3m, No. 221
crystal system = cubic

abc: 4.733 4.733 4.733
angles: 90.00 90.00 90.00
Atoms (fractional coordinates):
La 0.000 0.000 0.000
Ti 0.000 0.000 0.500
Ti 0.000 0.500 0.000
Ti 0.500 0.000 0.000
Pd 0.500 0.500 0.500

---

Model 2:
Entry from Alexandria via LeMat-Bulk: crystalline LaTi3Pd at its relaxed geometry (PBE).

## Properties
theoretical density = 5.53 Mg/m³
SG = Pm-3m, No. 221
crystal system = cubic

abc: 4.888 4.888 4.888
angles: 90.00 90.00 90.00
Atoms (fractional coordinates):
La 0.000 0.000 0.000
Ti 0.000 0.500 0.500
Ti 0.500 0.000 0.500
Ti 0.500 0.500 0.000
Pd 0.500 0.500 0.500

---

So which one is most stable? That would be model 2, about 917 meV per atom below the next structure.

---

Model 1:
Entry from Alexandria via LeMat-Bulk: crystalline La8TlPd2 at its relaxed geometry (PBE).

## Properties
theoretical density = 7.21 Mg/m³
SG = C2/m, No. 12
crystal system = monoclinic

abc: 8.449 8.449 5.591
angles: 97.79 97.79 114.33
Atoms (fractional coordinates):
La 0.109 0.109 0.808
La 0.195 0.429 0.432
La 0.250 0.750 0.000
La 0.429 0.195 0.432
La 0.571 0.805 0.568
La 0.750 0.250 0.000
La 0.805 0.571 0.568
La 0.891 0.891 0.192
Tl 0.500 0.500 0.000
Pd 0.187 0.813 0.500
Pd 0.813 0.187 0.500

---

Model 2:
Entry from Alexandria via LeMat-Bulk: crystalline La8TlPd2 at its relaxed geometry (PBE).

## Properties
theoretical density = 7.35 Mg/m³
SG = C2/m, No. 12
crystal system = monoclinic

abc: 9.407 9.407 8.223
angles: 114.24 114.24 31.68
Atoms (fractional coordinates):
La 0.048 0.048 0.263
La 0.186 0.186 0.792
La 0.317 0.317 0.522
La 0.409 0.409 0.036
La 0.591 0.591 0.964
La 0.683 0.683 0.478
La 0.814 0.814 0.208
La 0.952 0.952 0.737
Tl 0.500 0.500 0.500
Pd 0.192 0.192 0.150
Pd 0.808 0.808 0.850

---

So which one is most stable? That would be model 2, about 59 meV per atom below the next structure.

---

Model 1:
Entry from Alexandria via LeMat-Bulk: crystalline LaTlPd3 at its relaxed geometry (PBE).

## Properties
theoretical density = 8.50 Mg/m³
SG = Pm-3m, No. 221
crystal system = cubic

abc: 5.058 5.058 5.058
angles: 90.00 90.00 90.00
Atoms (fractional coordinates):
La 0.000 0.000 0.000
Tl 0.500 0.500 0.500
Pd 0.000 0.500 0.500
Pd 0.500 0.000 0.500
Pd 0.500 0.500 0.000

---

Model 2:
Entry from Alexandria via LeMat-Bulk: crystalline LaTlPd3 at its relaxed geometry (PBE).

## Properties
theoretical density = 10.23 Mg/m³
SG = P2_1/m, No. 11
crystal system = monoclinic

abc: 5.541 7.093 5.610
angles: 90.00 102.79 90.00
Atoms (fractional coordinates):
La 0.240 0.250 0.180
La 0.760 0.750 0.820
Tl 0.143 0.750 0.413
Tl 0.857 0.250 0.587
Pd 0.270 0.750 0.958
Pd 0.367 0.061 0.697
Pd 0.367 0.439 0.697
Pd 0.633 0.561 0.303
Pd 0.633 0.939 0.303
Pd 0.730 0.250 0.042

---

So which one is most stable? That would be model 2, about 590 meV per atom below the next structure.

---

Model 1:
Entry from Alexandria via LeMat-Bulk: crystalline LaTlPd3 at its relaxed geometry (PBE).

## Properties
theoretical density = 9.73 Mg/m³
SG = Cmmm, No. 65
crystal system = orthorhombic

abc: 13.946 13.946 3.927
angles: 90.00 90.00 162.78
Atoms (fractional coordinates):
La 0.182 0.818 0.000
La 0.818 0.182 0.000
Tl 0.386 0.614 0.500
Tl 0.614 0.386 0.500
Pd 0.049 0.951 0.500
Pd 0.283 0.717 0.500
Pd 0.453 0.547 0.000
Pd 0.547 0.453 0.000
Pd 0.717 0.283 0.500
Pd 0.951 0.049 0.500

---

Model 2:
Entry from Alexandria via LeMat-Bulk: crystalline LaTlPd3 at its relaxed geometry (PBE).

## Properties
theoretical density = 7.65 Mg/m³
SG = Pm-3m, No. 221
crystal system = cubic

abc: 5.240 5.240 5.240
angles: 90.00 90.00 90.00
Atoms (fractional coordinates):
La 0.000 0.000 0.000
Tl 0.500 0.500 0.500
Pd 0.000 0.000 0.500
Pd 0.000 0.500 0.000
Pd 0.500 0.000 0.000

---

So which one is most stable? That would be model 1, about 676 meV per atom below the next structure.

---

Model 1:
Entry from Alexandria via LeMat-Bulk: crystalline LaTl3Pd3 at its relaxed geometry (PBE).

## Properties
theoretical density = 8.67 Mg/m³
SG = Pm-3n, No. 223
crystal system = cubic

abc: 7.430 7.430 7.430
angles: 90.00 90.00 90.00
Atoms (fractional coordinates):
La 0.000 0.000 0.000
La 0.500 0.500 0.500
Tl 0.000 0.250 0.500
Tl 0.000 0.750 0.500
Tl 0.250 0.500 0.000
Tl 0.500 0.000 0.250
Tl 0.500 0.000 0.750
Tl 0.750 0.500 0.000
Pd 0.000 0.500 0.250
Pd 0.000 0.500 0.750
Pd 0.250 0.000 0.500
Pd 0.500 0.250 0.000
Pd 0.500 0.750 0.000
Pd 0.750 0.000 0.500

---

Model 2:
Entry from Alexandria via LeMat-Bulk: crystalline LaTl3Pd3 at its relaxed geometry (PBE).

## Properties
theoretical density = 10.62 Mg/m³
SG = P2_1/m, No. 11
crystal system = monoclinic

abc: 9.192 4.570 9.201
angles: 90.00 119.93 90.00
Atoms (fractional coordinates):
La 0.166 0.250 0.333
La 0.834 0.750 0.667
Tl 0.223 0.250 0.762
Tl 0.262 0.750 0.040
Tl 0.461 0.750 0.723
Tl 0.539 0.250 0.277
Tl 0.738 0.250 0.960
Tl 0.777 0.750 0.238
Pd 0.041 0.250 0.936
Pd 0.105 0.750 0.540
Pd 0.436 0.750 0.395
Pd 0.564 0.250 0.605
Pd 0.895 0.250 0.460
Pd 0.959 0.750 0.064

---

So which one is most stable? That would be model 2, about 458 meV per atom below the next structure.